No. 1
Material: Dy5TlTe5
Method: DFT, PBE-GGA
State: relaxed

Cell: 6.178 7.573 8.696 Å, 106.78 90.00 114.07°
Atoms (fractional coordinates):
Te1 0.000 0.000 0.500
Te2 0.666 0.333 0.831
Te3 0.331 0.662 0.664
Te4 0.669 0.338 0.336
Te5 0.334 0.667 0.169
Dy1 0.163 0.326 0.331
Dy2 0.838 0.676 0.168
Dy3 0.162 0.324 0.832
Dy4 0.500 0.000 0.000
Dy5 0.837 0.674 0.669
Tl1 0.000 0.000 0.000

Computed properties:
As for the space-group type: C2/m. Its density of states at the Fermi level is 2.296 states/eV/cell. For the formation energy without anion corrections, the calculation gives -1.1932 eV/atom.

***

No. 2
Material: Dy8Tl2Te3
Method: DFT, PBE-GGA
State: relaxed

Cell: 7.041 8.411 8.181 Å, 120.93 93.39 90.00°
Atoms (fractional coordinates):
Dy1 0.640 0.178 0.766
Dy2 0.640 0.587 0.766
Dy3 0.893 0.607 0.215
Dy4 0.360 0.413 0.234
Dy5 0.107 0.393 0.785
Dy6 0.360 0.822 0.234
Dy7 0.840 0.163 0.326
Dy8 0.160 0.837 0.674
Te1 0.000 0.794 0.000
Te2 0.500 0.000 0.000
Te3 0.000 0.206 0.000
Tl1 0.373 0.243 0.487
Tl2 0.627 0.757 0.513

Computed properties:
As for the space-group type: C2/m. Its density of states at the Fermi level is 9.580 states/eV/cell. For the formation energy without anion corrections, the calculation gives -0.4987 eV/atom.

***

No. 3
Material: Dy10Tl3Te3
Method: DFT, PBE-GGA
State: relaxed

Cell: 6.422 9.007 9.007 Å, 120.00 90.00 90.00°
Atoms (fractional coordinates):
Tl1 0.500 0.000 0.392
Tl2 0.500 0.392 0.000
Tl3 0.500 0.608 0.608
Te1 0.000 0.388 0.388
Te2 0.000 0.000 0.612
Te3 0.000 0.612 0.000
Dy1 0.250 0.667 0.333
Dy2 0.000 0.758 0.758
Dy3 0.750 0.667 0.333
Dy4 0.000 0.242 0.000
Dy5 0.500 0.238 0.238
Dy6 0.500 0.000 0.762
Dy7 0.750 0.333 0.667
Dy8 0.000 0.000 0.242
Dy9 0.250 0.333 0.667
Dy10 0.500 0.762 0.000

Computed properties:
As for the space-group type: P-62m. Its density of states at the Fermi level is 9.279 states/eV/cell. For the formation energy without anion corrections, the calculation gives -0.6616 eV/atom.

***

No. 4
Material: Dy3TlTe
Method: DFT, PBE-GGA
State: relaxed

Cell: 6.358 9.061 12.004 Å, 122.60 90.00 90.00°
Atoms (fractional coordinates):
Dy1 0.781 0.464 0.870
Dy2 0.428 0.239 0.210
Dy3 0.836 0.145 0.963
Dy4 0.072 0.739 0.710
Dy5 0.164 0.855 0.037
Dy6 0.219 0.536 0.130
Dy7 0.928 0.261 0.290
Dy8 0.281 0.036 0.630
Dy9 0.572 0.761 0.790
Dy10 0.664 0.645 0.463
Dy11 0.719 0.964 0.370
Dy12 0.336 0.355 0.537
Te1 0.684 0.899 0.083
Te2 0.184 0.601 0.417
Te3 0.816 0.399 0.583
Te4 0.316 0.101 0.917
Tl1 0.218 0.973 0.334
Tl2 0.782 0.027 0.666
Tl3 0.282 0.473 0.834
Tl4 0.718 0.527 0.166

Computed properties:
As for the space-group type: P2_1/c. Its density of states at the Fermi level is 20.010 states/eV/cell. The calculation puts the excess energy over the best structure of this formula in the dataset at 9.4 kJ per mole of atoms. For the formation energy without anion corrections, the calculation gives -0.5222 eV/atom.

***

No. 5
Material: Dy6TlTe3
Method: DFT, PBE-GGA
State: relaxed

Cell: 4.031 12.171 12.773 Å, 103.87 90.00 90.00°
Site moments in Bohr magnetons follow the coordinates.
Atoms (fractional coordinates):
Dy1 0.750 0.943 0.118  0.01
Dy2 0.750 0.418 0.114  0.00
Dy3 0.250 0.879 0.533  0.06
Dy4 0.750 0.487 0.650  0.00
Dy5 0.750 0.786 0.756  0.02
Dy6 0.250 0.513 0.350  0.00
Dy7 0.250 0.251 0.704  0.04
Dy8 0.250 0.057 0.882  0.01
Dy9 0.750 0.121 0.467  0.06
Dy10 0.750 0.749 0.296  0.04
Dy11 0.250 0.582 0.886  0.00
Dy12 0.250 0.214 0.244  0.02
Te1 0.750 0.164 0.055  0.00
Te2 0.750 0.389 0.863  0.00
Te3 0.750 0.670 0.511  0.00
Te4 0.250 0.611 0.137  0.00
Te5 0.250 0.330 0.489  0.00
Te6 0.250 0.836 0.945  0.00
Tl1 0.250 0.960 0.310  0.00
Tl2 0.750 0.040 0.690  0.00

Computed properties:
As for the space-group type: P2_1/m. Its density of states at the Fermi level is 18.344 states/eV/cell. For the formation energy without anion corrections, the calculation gives -0.7860 eV/atom.

***

No. 6
Material: Dy2TlTe
Method: DFT, PBE-GGA
State: relaxed

Cell: 4.323 4.478 12.139 Å, 100.63 90.00 90.00°
Atoms (fractional coordinates):
Dy1 0.750 0.677 0.354
Dy2 0.250 0.064 0.128
Dy3 0.750 0.936 0.872
Dy4 0.250 0.323 0.646
Te1 0.250 0.193 0.385
Te2 0.750 0.807 0.615
Tl1 0.250 0.453 0.906
Tl2 0.750 0.547 0.094

Computed properties:
As for the space-group type: Cmcm. Its density of states at the Fermi level is 3.664 states/eV/cell. The calculation puts the excess energy over the best structure of this formula in the dataset at 0.0 kJ per mole of atoms. For the formation energy without anion corrections, the calculation gives -0.8451 eV/atom.

***

No. 7
Material: DyTlTe
Method: DFT, PBE-GGA
State: relaxed

Cell: 4.690 4.690 11.322 Å, 78.05 78.05 60.00°
Atoms (fractional coordinates):
Tl1 0.148 0.148 0.555
Tl2 0.852 0.852 0.445
Te1 0.279 0.279 0.162
Te2 0.721 0.721 0.838
Dy1 0.429 0.429 0.714
Dy2 0.571 0.571 0.286

Computed properties:
As for the space-group type: R-3m. Its density of states at the Fermi level is 1.811 states/eV/cell. For the formation energy without anion corrections, the calculation gives -0.6418 eV/atom.

***

No. 8
Material: DyTlTe2
Method: DFT, PBE-GGA
State: relaxed

Cell: 8.578 8.578 8.578 Å, 30.08 30.08 30.08°
Atoms (fractional coordinates):
Te1 0.738 0.738 0.738
Te2 0.262 0.262 0.262
Tl1 0.500 0.500 0.500
Dy1 0.000 0.000 0.000

Computed properties:
As for the space-group type: R-3m. For the formation energy without anion corrections, the calculation gives -1.0527 eV/atom.

***

No. 9
Material: Dy2TlTe
Method: DFT, PBE-GGA
State: relaxed

Cell: 4.049 4.049 8.750 Å, 76.62 76.62 60.00°
Atoms (fractional coordinates):
Te1 0.667 0.667 0.998
Dy1 0.078 0.078 0.766
Dy2 0.255 0.255 0.235
Tl1 0.499 0.499 0.502

Computed properties:
As for the space-group type: R3m. Its density of states at the Fermi level is 3.117 states/eV/cell. The calculation puts the excess energy over the best structure of this formula in the dataset at 11.5 kJ per mole of atoms. For the formation energy without anion corrections, the calculation gives -0.7255 eV/atom.

***

No. 10
Material: Dy5TlTe4
Method: DFT, PBE-GGA
State: relaxed

Cell: 4.354 4.354 15.900 Å, 97.87 97.87 90.00°
Atoms (fractional coordinates):
Dy1 0.296 0.296 0.591
Dy2 0.096 0.096 0.192
Dy3 0.904 0.904 0.808
Dy4 0.704 0.704 0.409
Dy5 0.500 0.500 0.000
Tl1 0.000 0.000 0.000
Te1 0.604 0.604 0.208
Te2 0.197 0.197 0.394
Te3 0.396 0.396 0.792
Te4 0.803 0.803 0.606

Computed properties:
As for the space-group type: I4/mmm. Its density of states at the Fermi level is 5.492 states/eV/cell. The calculation puts the excess energy over the best structure of this formula in the dataset at 3.6 kJ per mole of atoms. For the formation energy without anion corrections, the calculation gives -1.0948 eV/atom.

***

No. 11
Material: Dy6Tl5Te
Method: DFT, PBE-GGA
State: relaxed

Cell: 9.719 5.160 8.132 Å, 71.50 80.36 58.15°
Atoms (fractional coordinates):
Dy1 0.252 0.584 0.326
Dy2 0.748 0.416 0.674
Dy3 0.245 0.253 0.000
Dy4 0.755 0.747 0.000
Dy5 0.252 0.910 0.674
Dy6 0.748 0.090 0.326
Tl1 0.000 0.676 0.648
Tl2 0.500 0.833 0.335
Tl3 0.500 0.167 0.665
Tl4 0.500 0.500 0.000
Tl5 0.000 0.324 0.352
Te1 0.000 0.000 0.000

Computed properties:
As for the space-group type: C2/m. Its density of states at the Fermi level is 9.804 states/eV/cell. For the formation energy without anion corrections, the calculation gives -0.4299 eV/atom.

***

No. 12
Material: Dy4TlTe5
Method: DFT, PBE-GGA
State: relaxed

Cell: 4.363 8.591 10.642 Å, 105.28 101.83 90.00°
Atoms (fractional coordinates):
Dy1 0.328 0.969 0.655
Dy2 0.035 0.757 0.071
Dy3 0.672 0.031 0.345
Dy4 0.965 0.243 0.929
Te1 0.110 0.196 0.221
Te2 0.500 0.500 0.000
Te3 0.890 0.804 0.779
Te4 0.817 0.217 0.633
Te5 0.183 0.783 0.367
Tl1 0.500 0.000 0.000

Computed properties:
As for the space-group type: C2/m. Its density of states at the Fermi level is 3.430 states/eV/cell. The calculation puts the excess energy over the best structure of this formula in the dataset at 9.1 kJ per mole of atoms. For the formation energy without anion corrections, the calculation gives -1.0647 eV/atom.